Record 1
KTc2Os | PBE-GGA | optimized geometry

The structure in CIF format:
```
data_KTc2Os
_symmetry_space_group_name_H-M 'P 1'
_symmetry_Int_Tables_number 1
_cell_length_a 5.924
_cell_length_b 5.924
_cell_length_c 5.924
_cell_angle_alpha 153.56
_cell_angle_beta 128.92
_cell_angle_gamma 58.42
loop_
_symmetry_equiv_pos_as_xyz
'x,y,z'
loop_
_atom_site_label
_atom_site_fract_x
_atom_site_fract_y
_atom_site_fract_z
K1 0.500 0.500 0.000
Os1 0.785 0.285 0.500
Tc1 0.999 0.999 0.000
Tc2 0.215 0.715 0.500
```

## Properties
- Formation enthalpy at 0 K: 467.4 kJ/mol of formula units
- Space group: Imm2
- Offset from the most stable computed form: 2.02 eV/f.u.
- ρ: 9.87 Mg/m³

=====

Record 2
K2TcOs | PBE-GGA | optimized geometry

The structure in CIF format:
```
data_K2TcOs
_symmetry_space_group_name_H-M 'P 1'
_symmetry_Int_Tables_number 1
_cell_length_a 3.257
_cell_length_b 3.257
_cell_length_c 10.692
_cell_angle_alpha 90.00
_cell_angle_beta 90.00
_cell_angle_gamma 90.00
loop_
_symmetry_equiv_pos_as_xyz
'x,y,z'
loop_
_atom_site_label
_atom_site_fract_x
_atom_site_fract_y
_atom_site_fract_z
K1 0.000 0.000 0.920
K2 0.500 0.500 0.333
Os1 0.000 0.000 0.575
Tc1 0.500 0.500 0.672
```

## Properties
- Formation enthalpy at 0 K: 303.6 kJ/mol of formula units
- Space group: P4mm
- Offset from the most stable computed form: 0.16 eV/f.u.
- ρ: 5.36 Mg/m³

=====

Record 3
KTc2Os | PBE-GGA | optimized geometry

The structure in CIF format:
```
data_KTc2Os
_symmetry_space_group_name_H-M 'P 1'
_symmetry_Int_Tables_number 1
_cell_length_a 6.070
_cell_length_b 6.070
_cell_length_c 6.070
_cell_angle_alpha 154.64
_cell_angle_beta 127.75
_cell_angle_gamma 58.95
loop_
_symmetry_equiv_pos_as_xyz
'x,y,z'
loop_
_atom_site_label
_atom_site_fract_x
_atom_site_fract_y
_atom_site_fract_z
K1 0.250 0.750 0.500
Os1 0.750 0.250 0.500
Tc1 0.958 0.958 0.000
Tc2 0.542 0.542 0.000
```

## Properties
- Formation enthalpy at 0 K: 438.9 kJ/mol of formula units
- Space group: Immm
- Offset from the most stable computed form: 1.72 eV/f.u.
- ρ: 9.38 Mg/m³

=====

Record 4
KTc4Os | PBE-GGA | optimized geometry

The structure in CIF format:
```
data_KTc4Os
_symmetry_space_group_name_H-M 'P 1'
_symmetry_Int_Tables_number 1
_cell_length_a 5.221
_cell_length_b 5.221
_cell_length_c 5.221
_cell_angle_alpha 60.00
_cell_angle_beta 60.00
_cell_angle_gamma 60.00
loop_
_symmetry_equiv_pos_as_xyz
'x,y,z'
loop_
_atom_site_label
_atom_site_fract_x
_atom_site_fract_y
_atom_site_fract_z
K1 0.750 0.750 0.750
Tc1 0.874 0.375 0.375
Tc2 0.375 0.375 0.874
Tc3 0.375 0.874 0.375
Tc4 0.375 0.375 0.375
Os1 0.000 0.000 0.000
```

## Properties
- Formation enthalpy at 0 K: 617.4 kJ/mol of formula units
- Space group: F-43m
- ρ: 10.25 Mg/m³

=====

Record 5
K2TcOs | PBE-GGA | optimized geometry

The structure in CIF format:
```
data_K2TcOs
_symmetry_space_group_name_H-M 'P 1'
_symmetry_Int_Tables_number 1
_cell_length_a 4.333
_cell_length_b 4.333
_cell_length_c 9.954
_cell_angle_alpha 88.16
_cell_angle_beta 88.16
_cell_angle_gamma 41.10
loop_
_symmetry_equiv_pos_as_xyz
'x,y,z'
loop_
_atom_site_label
_atom_site_fract_x
_atom_site_fract_y
_atom_site_fract_z
K1 0.988 0.988 0.089
K2 0.764 0.764 0.659
Os1 0.512 0.512 0.413
Tc1 0.236 0.236 0.338
```

## Properties
- Formation enthalpy at 0 K: 312.9 kJ/mol of formula units
- Space group: Cm
- Offset from the most stable computed form: 0.26 eV/f.u.
- ρ: 4.95 Mg/m³

=====

Record 6
K2TcOs | PBE-GGA | optimized geometry

The structure in CIF format:
```
data_K2TcOs
_symmetry_space_group_name_H-M 'P 1'
_symmetry_Int_Tables_number 1
_cell_length_a 11.904
_cell_length_b 11.904
_cell_length_c 11.904
_cell_angle_alpha 13.50
_cell_angle_beta 13.50
_cell_angle_gamma 13.50
loop_
_symmetry_equiv_pos_as_xyz
'x,y,z'
loop_
_atom_site_label
_atom_site_fract_x
_atom_site_fract_y
_atom_site_fract_z
K1 0.999 0.999 0.999
K2 0.501 0.501 0.501
Os1 0.250 0.250 0.250
Tc1 0.750 0.750 0.750
```

## Properties
- Formation enthalpy at 0 K: 525.8 kJ/mol of formula units
- Space group: R-3m
- Offset from the most stable computed form: 2.46 eV/f.u.
- ρ: 7.60 Mg/m³

=====

The lowest formation enthalpy at 0 K belongs to which entry? number 2